[1]
A geometry-optimized CuGePS2 structure, computed with PBE.

Values from the calculation:
Its formation energy (no corrections) is 620 meV/atom. As for the mass density: 4.046 Mg/m³.

abc: 4.6838 4.6838 4.3267
angles: 90.00 90.00 90.00
Last column: nearest neighbours and their distance in Å.
Element x y z (fractional)
1 P 0.0000 0.0000 0.5000  2 Cu 2.16
2 Ge 0.5000 0.5000 0.5000  8 S 3.19, 4 P 3.31
3 S 0.0000 0.5000 0.0000  2 Cu 2.34
4 S 0.5000 0.0000 0.0000  2 Cu 2.34
5 Cu 0.0000 0.0000 0.0000  2 P 2.16, 4 S 2.34


[2]
A geometry-optimized CuGePS2 structure, computed with PBE.

Values from the calculation:
Its formation energy (no corrections) is 432 meV/atom. As for the mass density: 3.963 Mg/m³.

abc: 4.7901 4.2233 4.7901
angles: 90.00 90.00 90.00
Last column: nearest neighbours and their distance in Å.
Element x y z (fractional)
1 P 0.0000 0.0000 0.0000  2 Cu 2.11
2 Ge 0.5000 0.5000 0.5000  8 S 3.19, 4 Cu 3.39
3 S 0.0000 0.0000 0.5000  2 P 2.40
4 S 0.5000 0.0000 0.0000  2 P 2.40
5 Cu 0.0000 0.5000 0.0000  2 P 2.11


[3]
A geometry-optimized CuSiGe2P4 structure, computed with PBE.

Values from the calculation:
Its formation energy (no corrections) is -63 meV/atom. As for the mass density: 3.812 Mg/m³.

abc: 5.4276 5.4276 6.5720
angles: 114.37 114.37 90.04
Last column: nearest neighbours and their distance in Å.
Element x y z (fractional)
1 Cu 0.0001 0.0001 0.0002  4 P 2.28
2 Si 0.5000 0.5000 0.0000  4 P 2.27
3 Ge 0.7501 0.2501 0.5002  4 P 2.40
4 Ge 0.2501 0.7501 0.5002  4 P 2.40
5 P 0.6353 0.6353 0.7714  1 Si 2.27, 1 Cu 2.28, 2 Ge 2.40
6 P 0.3647 0.8639 0.2286  1 Si 2.27, 1 Cu 2.28, 2 Ge 2.40
7 P 0.8639 0.3647 0.2286  1 Si 2.27, 1 Cu 2.28, 2 Ge 2.40
8 P 0.1361 0.1361 0.7714  1 Si 2.27, 1 Cu 2.28, 2 Ge 2.40


[4]
A geometry-optimized Pa2CuGe2 structure, computed with PBE.

Values from the calculation:
The calculation puts the calculated formation energy at -0.273 eV per atom. As for the mass density: 10.458 Mg/m³.

abc: 4.4883 6.2807 7.8838
angles: 90.00 106.54 90.00
Last column: nearest neighbours and their distance in Å.
Element x y z (fractional)
1 Pa 0.9944 0.7160 0.9888  6 Ge 2.93-3.16, 2 Cu 2.96, 2 Pa 3.14
2 Pa 0.8039 0.4405 0.6078  6 Ge 2.93-3.26, 1 Cu 3.10
3 Pa 0.1961 0.9405 0.3922  6 Ge 2.93-3.26, 1 Cu 3.10
4 Pa 0.0056 0.2160 0.0112  6 Ge 2.93-3.16, 2 Cu 2.96, 2 Pa 3.14
5 Cu 0.3954 0.0587 0.7908  4 Ge 2.56-2.73
6 Cu 0.6046 0.5587 0.2092  4 Ge 2.56-2.73
7 Ge 0.4285 0.4624 0.8569  2 Cu 2.58-2.73
8 Ge 0.8265 0.9568 0.6529  2 Cu 2.56
9 Ge 0.1735 0.4568 0.3471  2 Cu 2.56
10 Ge 0.5715 0.9624 0.1431  2 Cu 2.58-2.73


[5]
A geometry-optimized Pa2CuGe structure, computed with PBE.

Values from the calculation:
The calculation puts the calculated formation energy at -0.018 eV per atom. As for the mass density: 11.730 Mg/m³.

abc: 4.9293 4.9293 4.9293
angles: 60.00 60.00 60.00
Last column: nearest neighbours and their distance in Å.
Element x y z (fractional)
1 Ge 0.5000 0.5000 0.5000  8 Pa 3.02
2 Pa 0.2500 0.2500 0.2500  4 Ge 3.02, 4 Cu 3.02
3 Pa 0.7500 0.7500 0.7500  4 Ge 3.02, 4 Cu 3.02
4 Cu 0.0000 0.0000 0.0000  8 Pa 3.02


[6]
A geometry-optimized Pa2CuGe structure, computed with PBE.

Values from the calculation:
The calculation puts the calculated formation energy at -0.171 eV per atom. As for the mass density: 12.251 Mg/m³.

abc: 4.2428 4.3717 4.3717
angles: 90.00 90.00 90.00
Last column: nearest neighbours and their distance in Å.
Element x y z (fractional)
1 Ge 0.5000 0.0000 0.0000  8 Pa 3.05, 4 Cu 3.09
2 Pa 0.0000 0.0000 0.5000  4 Cu 3.05, 4 Ge 3.05, 4 Pa 3.09
3 Pa 0.0000 0.5000 0.0000  4 Cu 3.05, 4 Ge 3.05, 4 Pa 3.09
4 Cu 0.5000 0.5000 0.5000  8 Pa 3.05, 4 Ge 3.09


| no. | M_tot (μB/cell) | electronic total energy (eV for the cell shown) |
| --- | --- | --- |
| 1 | 0.00 | -19.276 |
| 2 | 0.00 | -20.220 |
| 3 | 0.00 | -40.901 |
| 4 | 0.00 | -67.375 |
| 5 | 1.30 | -27.776 |
| 6 | 0.00 | -28.390 |